No. 1
The following is a PBE-GGA calculation of crystalline LaTb2Dy at its relaxed geometry, from Alexandria.

Lattice parameters (Å, degrees): 3.6100 3.6100 10.1795 90.00 90.00 90.00
Last column: nearest neighbours and their distance in Å.
Space group P4/mmm (No. 123)
Unique sites:
La 0.0000 0.0000 0.0000  4 La 3.61, 8 Tb 3.66
Tb 0.5000 0.5000 0.2572  4 Dy 3.55, 4 Tb 3.61, 4 La 3.66
Dy 0.0000 0.0000 0.5000  8 Tb 3.55, 4 Dy 3.61

Properties
Energy relative to the lowest polymorph listed for this composition (meV per atom): 19
Calculated total energy (eV per formula unit): -18.68

=====

No. 2
The following is a PBE-GGA calculation of crystalline LaTbDy4 at its relaxed geometry, from Alexandria.

Lattice parameters (Å, degrees): 8.8818 14.8248 6.4643 90.00 109.28 90.00
Last column: nearest neighbours and their distance in Å.
Space group C2/c (No. 15)
Unique sites:
La 0.0000 0.0830 0.2500  10 Dy 3.54-3.95
Tb 0.0000 0.4991 0.7500  2 Tb 3.23, 8 Dy 3.39-3.59
Dy 0.0925 0.3052 0.5335  5 Dy 3.32-3.68, 2 Tb 3.39-3.41
Dy 0.2067 0.1332 0.8799  3 Dy 3.32-3.50, 2 Tb 3.50-3.59, 2 La 3.54-3.65

Properties
Energy relative to the lowest polymorph listed for this composition (meV per atom): 0
Calculated total energy (eV per formula unit): -27.12

=====

No. 3
The following is a PBE-GGA calculation of crystalline LaTb2Dy7 at its relaxed geometry, from Alexandria.

Lattice parameters (Å, degrees): 6.1776 7.1320 7.9778 77.07 75.09 73.24
Last column: nearest neighbours and their distance in Å.
Space group P-1 (No. 2)
Unique sites:
La 0.0000 0.0000 0.0000  10 Dy 3.57-3.58, 2 Tb 3.58
Tb 0.1999 0.3015 0.5990  10 Dy 3.55-3.58, 1 Tb 3.55, 1 La 3.58
Dy 0.0000 0.5000 0.0000  8 Dy 3.56-3.58, 2 La 3.57, 2 Tb 3.57
Dy 0.2006 0.7993 0.5989  7 Dy 3.55-3.57, 4 Tb 3.55-3.58, 1 La 3.58
Dy 0.4000 0.1002 0.2016  2 Tb 3.55-3.57, 8 Dy 3.56-3.59, 2 La 3.57
Dy 0.4018 0.5982 0.2017  3 Tb 3.55-3.58, 8 Dy 3.55-3.59, 1 La 3.58

Properties
Energy relative to the lowest polymorph listed for this composition (meV per atom): 0
Calculated total energy (eV per formula unit): -46.21

=====

No. 4
The following is a PBE-GGA calculation of crystalline La16Tb7Dy6 at its relaxed geometry, from Alexandria.

Lattice parameters (Å, degrees): 16.2282 16.2282 16.2282 90.00 90.00 90.00
Last column: nearest neighbours and their distance in Å.
Space group Fm-3m (No. 225)
Unique sites:
La 0.1252 0.1252 0.1252  4 Tb 3.51-3.52, 3 Dy 3.62, 3 La 3.70
La 0.1491 0.1491 0.3509  3 Tb 3.35, 3 La 3.70, 3 Dy 3.72
Tb 0.0000 0.0000 0.0000  8 La 3.52
Tb 0.0000 0.2500 0.2500  8 La 3.35-3.51
Dy 0.0000 0.0000 0.2606  8 La 3.62-3.72

Properties
Calculated total energy (eV per formula unit): -133.25

=====

No. 5
The following is a PBE-GGA calculation of crystalline LaTb2Dy5 at its relaxed geometry, from Alexandria.

Lattice parameters (Å, degrees): 7.1574 14.3196 5.0448 90.00 90.00 90.00
Last column: nearest neighbours and their distance in Å.
Space group Pbam (No. 55)
Unique sites:
La 0.0000 0.0000 0.0000  8 Dy 3.58-3.61, 4 Tb 3.59
Tb 0.2489 0.3737 0.5000  10 Dy 3.54-3.62, 2 La 3.59
Dy 0.0002 0.2522 0.0000  4 Tb 3.54-3.58, 7 Dy 3.54-3.58, 1 La 3.61
Dy 0.0000 0.5000 0.0000  6 Dy 3.55-3.58, 2 La 3.58, 4 Tb 3.58
Dy 0.2490 0.6264 0.5000  4 Tb 3.54-3.62, 6 Dy 3.54-3.58, 2 La 3.59

Properties
Calculated total energy (eV per formula unit): -37.02

=====

No. 6
The following is a PBE-GGA calculation of crystalline LaTb8Dy4 at its relaxed geometry, from Alexandria.

Lattice parameters (Å, degrees): 11.0001 11.0001 13.5454 90.00 90.00 120.00
Last column: nearest neighbours and their distance in Å.
Space group R-3m (No. 166, hexagonal axes)
Unique sites:
La 0.0000 0.0000 0.0000  8 Tb 3.52-3.53, 6 Dy 3.90
Tb 0.0000 0.0000 0.2609  4 Dy 3.24-3.42, 1 La 3.53
Tb 0.0153 0.5076 0.2472  4 Dy 3.22-3.43, 1 La 3.52
Dy 0.0000 0.0000 0.5000  8 Tb 3.22-3.24
Dy 0.0000 0.5000 0.5000  8 Tb 3.42-3.43

Properties
Calculated total energy (eV per formula unit): -53.78

=====

calculated total energy of number 6 (LaTb8Dy4)? -53.78 eV per formula unit

=====

calculated total energy of number 6 (LaTb8Dy4)? -53.78 eV per formula unit